1.
Computed, not measured: a relaxed Sc2Tc2Ru crystal at the PBE level of DFT.

Results
* energy of formation: -0.057 eV/atom

Unit cell a=6.439 b=6.439 c=4.383 alpha=90.00 beta=90.00 gamma=90.00
Space group P4/mbm (No. 127)
One atom of each set of equivalent atoms:
Sc1 0.178 0.322 0.000 x4
Tc1 0.132 0.632 0.500 x4
Ru1 0.000 0.000 0.500 x2

2.
Computed, not measured: a relaxed ScTcRu2 crystal at the PBE level of DFT.

Results
* energy of formation: -0.016 eV/atom

Unit cell a=3.050 b=4.392 c=4.570 alpha=90.00 beta=90.00 gamma=90.00
Space group Pmmm (No. 47)
One atom of each set of equivalent atoms:
Sc1 0.000 0.000 0.000 x1
Tc1 0.500 0.000 0.500 x1
Ru1 0.000 0.500 0.500 x1
Ru2 0.500 0.500 0.000 x1

3.
Computed, not measured: a relaxed Sc6TcRu5 crystal at the PBE level of DFT.

Results
* energy of formation: -0.447 eV/atom

Unit cell a=4.551 b=6.467 c=13.590 alpha=90.00 beta=90.00 gamma=90.00
Space group Immm (No. 71)
One atom of each set of equivalent atoms:
Sc1 0.000 0.247 0.000 x4
Sc2 0.000 0.251 0.332 x8
Tc1 0.000 0.000 0.500 x2
Ru1 0.000 0.000 0.167 x4
Ru2 0.000 0.500 0.165 x4
Ru3 0.000 0.500 0.500 x2

4.
Computed, not measured: a relaxed ScTc4Ru crystal at the PBE level of DFT.

Results
* energy of formation: 0.090 eV/atom

Unit cell a=7.271 b=7.271 c=7.271 alpha=90.00 beta=90.00 gamma=90.00
Space group F-43m (No. 216)
One atom of each set of equivalent atoms:
Sc1 0.000 0.000 0.000 x4
Tc1 0.126 0.126 0.374 x16
Ru1 0.250 0.250 0.750 x4

5.
Computed, not measured: a relaxed ScTcRu2 crystal at the PBE level of DFT.

Results
* energy of formation: 0.022 eV/atom

Unit cell a=3.113 b=3.113 c=6.397 alpha=90.00 beta=90.00 gamma=90.00
Space group P4mm (No. 99)
One atom of each set of equivalent atoms:
Sc1 0.000 0.000 0.000 x1
Tc1 0.500 0.500 0.276 x1
Ru1 0.000 0.000 0.499 x1
Ru2 0.500 0.500 0.759 x1

6.
Computed, not measured: a relaxed ScTcRu2 crystal at the PBE level of DFT.

Results
* energy of formation: 0.104 eV/atom

Unit cell a=2.8495 b=2.8495 c=26.4461 alpha=90.00 beta=90.00 gamma=120.00
Space group R-3m (No. 166, hexagonal axes)
One atom of each set of equivalent atoms:
Sc1 0.0000 0.0000 0.0000 x3
Tc1 0.0000 0.0000 0.5000 x3
Ru1 0.0000 0.0000 0.2468 x6

Q: energy of formation of number 1 (Sc2Tc2Ru)?
A: -0.057 eV/atom

Q: Which formula does entry 2 have?
A: ScTcRu2

Q: What is the energy of formation in the first record?
A: -0.057 eV/atom

Q: energy of formation of number 5 (ScTcRu2)?
A: 0.022 eV/atom